[1]
## Tl5GaF8 (PBE)

Data for an optimized crystal structure of Tl5GaF8.

CIF file:
```
data_Tl5GaF8
_cell_length_a 7.829
_cell_length_b 7.829
_cell_length_c 11.051
_cell_angle_alpha 90.00
_cell_angle_beta 90.00
_cell_angle_gamma 90.00
_symmetry_space_group_name_H-M 'I -4'
_symmetry_Int_Tables_number 82
loop_
_symmetry_equiv_pos_as_xyz
'x,y,z'
'y,-x,-z'
'-x,-y,z'
'-y,x,-z'
'x+1/2,y+1/2,z+1/2'
'y+1/2,-x+1/2,-z+1/2'
'-x+1/2,-y+1/2,z+1/2'
'-y+1/2,x+1/2,-z+1/2'
loop_
_atom_site_label
_atom_site_type_symbol
_atom_site_fract_x
_atom_site_fract_y
_atom_site_fract_z
Tl1 Tl 0.000 0.000 0.000
Tl2 Tl 0.001 0.750 0.625
Ga1 Ga 0.000 0.500 0.250
F1 F 0.001 0.715 0.858
F2 F 0.004 0.688 0.344
```

Values from the calculation:
**Total moment**: 0.00 μB/atom
**Formation energy (no corrections)**: -195 kJ per mole of atoms



[2]
## GePO2F (PBE)

Data for an optimized crystal structure of GePO2F.

CIF file:
```
data_GePO2F
_cell_length_a 3.835
_cell_length_b 3.835
_cell_length_c 3.969
_cell_angle_alpha 90.00
_cell_angle_beta 90.00
_cell_angle_gamma 90.00
_symmetry_space_group_name_H-M 'P 4/m m m'
_symmetry_Int_Tables_number 123
_symmetry_space_group_name_Hall '-P 4 2'
loop_
_atom_site_label
_atom_site_type_symbol
_atom_site_fract_x
_atom_site_fract_y
_atom_site_fract_z
Ge1 Ge 0.000 0.000 0.000
P1 P 0.500 0.500 0.500
O1 O 0.000 0.500 0.000
F1 F 0.000 0.000 0.500
```

Values from the calculation:
**Total moment**: 0.11 μB/atom
**Formation energy (no corrections)**: -43 kJ per mole of atoms